No. 1
Density functional theory data (PBE-GGA) for Hf2Zn16Pd after structural relaxation.

Geometry as POSCAR:
```
Hf2Zn16Pd
1.0
4.3873 2.5330 4.3277
-4.3873 2.5330 4.3277
0.0000 -5.0661 4.3277
Hf Zn Pd
2 16 1
direct
0.0000 0.0000 0.0000
0.3332 0.3332 0.3332
0.0231 0.0231 0.5158
0.0231 0.5158 0.0231
0.1695 0.6673 0.6673
0.3072 0.3072 0.8384
0.3072 0.8384 0.3072
0.3701 0.6698 0.9680
0.3701 0.9680 0.6698
0.5158 0.0231 0.0231
0.5620 0.5620 0.5620
0.6673 0.1695 0.6673
0.6673 0.6673 0.1695
0.6698 0.3701 0.9680
0.6698 0.9680 0.3701
0.8384 0.3072 0.3072
0.9680 0.3701 0.6698
0.9680 0.6698 0.3701
0.7688 0.7688 0.7688
```

Summary:
Its magnetization is 0.000 μB per formula unit. As for the space-group type: R3m. The crystal system is trigonal. For the total energy, the calculation gives -2.533 eV per atom. The energy of formation from the pure elements comes out at -0.139 eV/atom.


No. 2
Density functional theory data (PBE-GGA) for CsBaCdSe2 after structural relaxation.

Geometry as POSCAR:
```
CsBaCdSe2
1.0
8.3614 0.0000 0.0000
0.0000 5.6425 0.0000
-1.6567 0.0000 9.3520
Cs Ba Cd Se
2 2 2 4
direct
0.0000 0.1552 0.2500
0.0000 0.8448 0.7500
0.5000 0.4913 0.7500
0.5000 0.5087 0.2500
0.5000 0.0000 0.0000
0.5000 0.0000 0.5000
0.2629 0.3164 0.9657
0.2629 0.6836 0.4657
0.7371 0.3164 0.5343
0.7371 0.6836 0.0343
```

Summary:
Its magnetization is 0.000 μB per formula unit. As for the space-group type: P2/c. The crystal system is monoclinic. For the total energy, the calculation gives -3.129 eV per atom. The uncorrected formation energy comes out at -997.1 meV/atom.


No. 3
Density functional theory data (PBE-GGA) for PtAu2Cl after structural relaxation.

Geometry as POSCAR:
```
PtAu2Cl
1.0
3.0011 0.0000 0.0000
0.0000 3.0011 0.0000
0.0000 0.0000 8.0425
Pt Au Cl
1 2 1
direct
0.0000 0.0000 0.0000
0.0000 0.0000 0.4820
0.5000 0.5000 0.2355
0.5000 0.5000 0.7637
```

Summary:
Its magnetization is 0.000 μB per formula unit. As for the space-group type: P4mm. The crystal system is tetragonal. For the total energy, the calculation gives -3.293 eV per atom. The uncorrected formation energy comes out at 318.0 meV/atom.


No. 4
Density functional theory data (PBE-GGA) for PmLuAgRh after structural relaxation.

Geometry as POSCAR:
```
PmLuAgRh
1.0
7.0795 0.0000 0.0000
0.0000 7.0795 0.0000
0.0000 0.0000 7.0795
Pm Lu Ag Rh
4 4 4 4
direct
0.0000 0.0000 0.0000
0.0000 0.5000 0.5000
0.5000 0.0000 0.5000
0.5000 0.5000 0.0000
0.0000 0.0000 0.5000
0.0000 0.5000 0.0000
0.5000 0.0000 0.0000
0.5000 0.5000 0.5000
0.2500 0.2500 0.7500
0.2500 0.7500 0.2500
0.7500 0.2500 0.2500
0.7500 0.7500 0.7500
0.2500 0.2500 0.2500
0.2500 0.7500 0.7500
0.7500 0.2500 0.7500
0.7500 0.7500 0.2500
```

Summary:
Its magnetization is 0.000 μB per formula unit. As for the space-group type: F-43m. The crystal system is cubic. For the total energy, the calculation gives -5.407 eV per atom. The energy of formation from the pure elements comes out at -0.538 eV/atom.


No. 5
Density functional theory data (PBE-GGA) for P2IrPt after structural relaxation.

Geometry as POSCAR:
```
P2IrPt
1.0
2.9250 0.0000 0.0000
0.0000 3.0369 0.0000
0.0000 0.0000 6.4808
P Ir Pt
2 1 1
direct
0.0000 0.0000 0.2401
0.0000 0.0000 0.7599
0.5000 0.5000 0.0000
0.5000 0.5000 0.5000
```

Summary:
Its magnetization is 0.000 μB per formula unit. As for the space-group type: Pmmm. The crystal system is orthorhombic. For the total energy, the calculation gives -6.281 eV per atom. The energy of formation from the pure elements comes out at 0.149 eV/atom.


No. 6
Density functional theory data (PBE-GGA) for CdBiPtO6 after structural relaxation.

Geometry as POSCAR:
```
CdBiPtO6
1.0
5.5174 0.0000 0.0000
-2.7587 4.7782 0.0000
0.0000 0.0000 9.3969
Cd Bi Pt O
2 2 2 12
direct
0.0000 0.0000 0.0000
0.0000 0.0000 0.5000
0.3333 0.6667 0.2500
0.6667 0.3333 0.7500
0.3333 0.6667 0.7500
0.6667 0.3333 0.2500
0.0261 0.3726 0.6328
0.0261 0.6535 0.8672
0.3465 0.3726 0.8672
0.3465 0.9739 0.6328
0.3726 0.0261 0.1328
0.3726 0.3465 0.3672
0.6274 0.6535 0.6328
0.6274 0.9739 0.8672
0.6535 0.0261 0.3672
0.6535 0.6274 0.1328
0.9739 0.3465 0.1328
0.9739 0.6274 0.3672
```

Summary:
Its magnetization is 0.000 μB per formula unit. As for the space-group type: P-31c. The crystal system is trigonal. For the total energy, the calculation gives -5.219 eV per atom. The uncorrected formation energy comes out at -709.0 meV/atom.


Q: Which formula does entry 5 have?
A: P2IrPt